[1]
# BeSiSe2N PBE-GGA relaxed
data_BeSiSe2N
_chemical_formula_sum 'Be1 Si1 Se2 N1'
_space_group_name_H-M_alt 'P 1'
_space_group_IT_number 1
_cell_length_a 5.062
_cell_length_b 5.062
_cell_length_c 3.251
_cell_angle_alpha 90.00
_cell_angle_beta 90.00
_cell_angle_gamma 90.00
loop_
_space_group_symop_operation_xyz
'x,y,z'
loop_
_atom_site_label
_atom_site_type_symbol
_atom_site_fract_x
_atom_site_fract_y
_atom_site_fract_z
Be1 Be 0.500 0.500 0.500
Si1 Si 0.000 0.000 0.000
Se1 Se 0.000 0.500 0.000
Se2 Se 0.500 0.000 0.000
N1 N 0.000 0.000 0.500
# * raw formation energy: 0.497 eV per atom
# * D(E_F): 0.37 states/eV per atom

[2]
# Tm3MgSn2 PBE-GGA relaxed
data_Tm3MgSn2
_chemical_formula_sum 'Tm6 Mg2 Sn4'
_space_group_name_H-M_alt 'P 1'
_space_group_IT_number 1
_cell_length_a 6.300
_cell_length_b 6.258
_cell_length_c 9.267
_cell_angle_alpha 109.73
_cell_angle_beta 109.87
_cell_angle_gamma 90.00
loop_
_space_group_symop_operation_xyz
'x,y,z'
loop_
_atom_site_label
_atom_site_type_symbol
_atom_site_fract_x
_atom_site_fract_y
_atom_site_fract_z
Tm1 Tm 0.414 0.676 0.351
Tm2 Tm 0.586 0.324 0.649
Tm3 Tm 0.063 0.824 0.649
Tm4 Tm 0.937 0.176 0.351
Tm5 Tm 0.500 0.750 0.000
Tm6 Tm 0.500 0.250 0.000
Mg1 Mg 0.000 0.250 0.000
Mg2 Mg 0.000 0.750 0.000
Sn1 Sn 0.393 0.136 0.272
Sn2 Sn 0.607 0.864 0.728
Sn3 Sn 0.121 0.364 0.728
Sn4 Sn 0.879 0.636 0.272
# * D(E_F): 1.22 states/eV per atom
# * energy relative to the elements: -0.46 eV per atom

[3]
# Nb2ZnSnBr PBE-GGA relaxed
data_Nb2ZnSnBr
_chemical_formula_sum 'Nb2 Zn1 Sn1 Br1'
_space_group_name_H-M_alt 'P 1'
_space_group_IT_number 1
_cell_length_a 4.780
_cell_length_b 5.547
_cell_length_c 4.780
_cell_angle_alpha 90.00
_cell_angle_beta 90.00
_cell_angle_gamma 90.00
loop_
_space_group_symop_operation_xyz
'x,y,z'
loop_
_atom_site_label
_atom_site_type_symbol
_atom_site_fract_x
_atom_site_fract_y
_atom_site_fract_z
Zn1 Zn 0.500 0.500 0.500
Nb1 Nb 0.000 0.000 0.500
Nb2 Nb 0.500 0.000 0.000
Sn1 Sn 0.000 0.500 0.000
Br1 Br 0.000 0.000 0.000
# * raw formation energy: 1.267 eV per atom
# * D(E_F): 1.01 states/eV per atom

[4]
# LiMg2Zr PBE-GGA relaxed
data_LiMg2Zr
_chemical_formula_sum 'Li1 Mg2 Zr1'
_space_group_name_H-M_alt 'P 1'
_space_group_IT_number 1
_cell_length_a 7.001
_cell_length_b 5.784
_cell_length_c 2.861
_cell_angle_alpha 90.01
_cell_angle_beta 65.86
_cell_angle_gamma 120.25
loop_
_space_group_symop_operation_xyz
'x,y,z'
loop_
_atom_site_label
_atom_site_type_symbol
_atom_site_fract_x
_atom_site_fract_y
_atom_site_fract_z
Li1 Li 0.500 0.500 0.000
Mg1 Mg 0.000 0.000 0.000
Mg2 Mg 0.500 0.000 0.500
Zr1 Zr 0.000 0.500 0.500
# * D(E_F): 1.10 states/eV per atom
# * energy relative to the elements: 0.10 eV per atom

[5]
# ThAl6Zn12 PBE-GGA relaxed
data_ThAl6Zn12
_chemical_formula_sum 'Th1 Al6 Zn12'
_space_group_name_H-M_alt 'P 1'
_space_group_IT_number 1
_cell_length_a 7.156
_cell_length_b 7.156
_cell_length_c 7.156
_cell_angle_alpha 102.25
_cell_angle_beta 102.25
_cell_angle_gamma 102.25
loop_
_space_group_symop_operation_xyz
'x,y,z'
loop_
_atom_site_label
_atom_site_type_symbol
_atom_site_fract_x
_atom_site_fract_y
_atom_site_fract_z
Th1 Th 0.000 0.000 0.000
Al1 Al 0.712 0.300 0.300
Al2 Al 0.300 0.300 0.712
Al3 Al 0.300 0.712 0.300
Al4 Al 0.700 0.700 0.288
Al5 Al 0.288 0.700 0.700
Al6 Al 0.700 0.288 0.700
Zn1 Zn 0.894 0.106 0.500
Zn2 Zn 0.872 0.628 0.628
Zn3 Zn 0.628 0.628 0.872
Zn4 Zn 0.372 0.128 0.372
Zn5 Zn 0.372 0.372 0.128
Zn6 Zn 0.128 0.372 0.372
Zn7 Zn 0.106 0.500 0.894
Zn8 Zn 0.500 0.894 0.106
Zn9 Zn 0.106 0.894 0.500
Zn10 Zn 0.894 0.500 0.106
Zn11 Zn 0.500 0.106 0.894
Zn12 Zn 0.628 0.872 0.628
# * D(E_F): 0.25 states/eV per atom
# * energy relative to the elements: 0.06 eV per atom

[6]
# Ni2OsSe PBE-GGA relaxed
data_Ni2OsSe
_chemical_formula_sum 'Ni2 Os1 Se1'
_space_group_name_H-M_alt 'P 1'
_space_group_IT_number 1
_cell_length_a 8.121
_cell_length_b 8.121
_cell_length_c 8.121
_cell_angle_alpha 19.74
_cell_angle_beta 19.74
_cell_angle_gamma 19.74
loop_
_space_group_symop_operation_xyz
'x,y,z'
loop_
_atom_site_label
_atom_site_type_symbol
_atom_site_fract_x
_atom_site_fract_y
_atom_site_fract_z
Ni1 Ni 0.002 0.002 0.002
Ni2 Ni 0.498 0.498 0.498
Os1 Os 0.250 0.250 0.250
Se1 Se 0.750 0.750 0.750
# * raw formation energy: 0.276 eV per atom
# * D(E_F): 0.96 states/eV per atom

[7]
# Sc2MnTeOs PBE-GGA relaxed
data_Sc2MnTeOs
_chemical_formula_sum 'Sc2 Mn1 Te1 Os1'
_space_group_name_H-M_alt 'P 1'
_space_group_IT_number 1
_cell_length_a 4.629
_cell_length_b 4.644
_cell_length_c 4.629
_cell_angle_alpha 90.00
_cell_angle_beta 90.00
_cell_angle_gamma 90.00
loop_
_space_group_symop_operation_xyz
'x,y,z'
loop_
_atom_site_label
_atom_site_type_symbol
_atom_site_fract_x
_atom_site_fract_y
_atom_site_fract_z
Sc1 Sc 0.000 0.000 0.500
Sc2 Sc 0.500 0.000 0.000
Te1 Te 0.000 0.500 0.000
Os1 Os 0.500 0.500 0.500
Mn1 Mn 0.000 0.000 0.000
# * raw formation energy: 0.644 eV per atom
# * D(E_F): 1.13 states/eV per atom

[8]
# Ag3Rh PBE-GGA relaxed
data_Ag3Rh
_chemical_formula_sum 'Ag3 Rh1'
_space_group_name_H-M_alt 'P 1'
_space_group_IT_number 1
_cell_length_a 5.141
_cell_length_b 5.141
_cell_length_c 5.141
_cell_angle_alpha 90.00
_cell_angle_beta 90.00
_cell_angle_gamma 90.00
loop_
_space_group_symop_operation_xyz
'x,y,z'
loop_
_atom_site_label
_atom_site_type_symbol
_atom_site_fract_x
_atom_site_fract_y
_atom_site_fract_z
Ag1 Ag 0.000 0.000 0.500
Ag2 Ag 0.000 0.500 0.000
Ag3 Ag 0.500 0.000 0.000
Rh1 Rh 0.000 0.000 0.000
# * D(E_F): 1.16 states/eV per atom
# * energy relative to the elements: 1.27 eV per atom